Material: KBa2Bi
Method: DFT, PBE
State: relaxed

a b c (Å): 10.5834 10.5834 8.5458
angles (deg): 51.74 51.74 90.00
Last column: nearest neighbours and their distance in Å.
Sites, in units of the cell vectors:
Ba 0.0583 0.6250 0.2500  2 Bi 3.44
Bi 0.7500 0.2500 0.5000  4 Ba 3.44
K 0.5000 0.5000 0.0000  2 Bi 4.13, 8 Ba 4.39-4.51
Bi 0.0000 0.0000 0.0000  4 Ba 3.44
K 0.2500 0.7500 0.5000  2 Bi 4.13, 8 Ba 4.39-4.51
Ba 0.8750 0.9417 0.7500  2 Bi 3.44
Ba 0.6917 0.1250 0.2500  2 Bi 3.44
Ba 0.3750 0.3083 0.7500  2 Bi 3.44

Computed properties:
- symmetry = I-42d, No. 122
- energy of formation (eV/f.u.) = -1.27

Material: TaTiBr2
Method: DFT, PBE
State: relaxed

a b c (Å): 7.1819 7.1819 5.9855
angles (deg): 53.13 53.13 90.00
Last column: nearest neighbours and their distance in Å.
Sites, in units of the cell vectors:
Ti 0.5000 0.5000 0.0000  4 Br 2.66
Br 0.8750 0.8741 0.7500  2 Ti 2.66, 2 Ta 2.66
Br 0.6241 0.1250 0.2500  2 Ti 2.66, 2 Ta 2.66
Ti 0.2500 0.7500 0.5000  4 Br 2.66
Br 0.3750 0.3759 0.7500  2 Ti 2.66, 2 Ta 2.66
Ta 0.0000 0.0000 0.0000  4 Br 2.66
Ta 0.7500 0.2500 0.5000  4 Br 2.66
Br 0.1259 0.6250 0.2500  2 Ti 2.66, 2 Ta 2.66

Computed properties:
- relative energy among the computed polymorphs (eV/atom) = 0.704
- energy relative to the elements, uncorrected (eV/atom) = 0.672
- symmetry = I-42d, No. 122

How do the records compare in density of states at the Fermi level? In the order shown, they have 0.77; 1.17 states/eV per atom.
How do the records compare in V? In the order shown, they have 57.8; 20.4 Å³/atom.